DFT (PBE) results for a geometry-optimized Mo2HPd structure.

Results
Space group = No. 122
Relative energy among the computed polymorphs = 0.798 eV/f.u.
Total magnetization = 0.00 Bohr magnetons per cell

a = 5.123 Å, b = 5.123 Å, c = 5.123 Å
α = 104.98°, β = 104.98°, γ = 118.89°
Fractional positions:
Mo1 0.030 0.625 0.905
Mo2 0.375 0.280 0.405
Mo3 0.720 0.125 0.095
Mo4 0.875 0.970 0.595
H1 0.000 0.000 0.000
H2 0.750 0.250 0.500
Pd1 0.250 0.750 0.500
Pd2 0.500 0.500 0.000